Compound: ErPu2Cu2Ge2
Source: the Alexandria database
Functional: PBE
Structure: relaxed

Values from the calculation:
Energy relative to the elements   -0.278 eV/atom
DOS at the Fermi energy   26.12 states/eV per cell

a = 4.0228 Å, b = 4.0228 Å, c = 26.4635 Å
α = 90.00°, β = 90.00°, γ = 120.00°
Space group R-3m (No. 166, hexagonal axes)
Asymmetric unit:
Er1 0.0000 0.0000 0.0000 [3 per cell]
Pu1 0.0000 0.0000 0.1505 [6 per cell]
Cu1 0.0000 0.0000 0.4106 [6 per cell]
Ge1 0.0000 0.0000 0.2616 [6 per cell]